Below is Pa2VO6 after structural relaxation, with properties calculated at the GGA+U level.

Results
calculated volume: 15.46 A^3/atom
crystal system: orthorhombic
E: -9.411 eV per atom

abc: 5.6291 5.3294 9.2791
angles: 90.00 90.00 90.00
Sites, in units of the cell vectors:
O  0.3344  0.7201  0.8297
O  0.3391  0.8217  0.5000
O  0.6656  0.2799  0.1703
O  0.1609  0.3217  0.0000
O  0.8344  0.7794  0.6702
O  0.3344  0.7206  0.1702
O  0.8391  0.6783  0.0000
O  0.6609  0.1783  0.5000
O  0.1656  0.2206  0.3298
O  0.8344  0.7799  0.3297
O  0.6656  0.2794  0.8298
O  0.1656  0.2201  0.6703
Pa  0.5000  0.9998  0.6908
Pa  0.0000  0.5002  0.1908
Pa  0.5000  0.0002  0.3092
Pa  0.0000  0.4998  0.8092
V  0.0000  0.0000  0.5000
V  0.5000  0.5000  0.0000